## i
Material: AcDyGeRh
Method: DFT, PBE-GGA
State: relaxed

Cell lengths 4.715, 4.715, 10.245 Å; angles 90.00, 90.00, 90.00 degrees
Fractional positions:
Ac1 0.250 0.250 0.177
Ac2 0.750 0.750 0.823
Dy1 0.250 0.750 0.500
Dy2 0.750 0.250 0.500
Ge1 0.250 0.250 0.877
Ge2 0.750 0.750 0.123
Rh1 0.250 0.250 0.645
Rh2 0.750 0.750 0.355

## ii
Material: AcDyGeRh
Method: DFT, PBE-GGA
State: relaxed

Cell lengths 5.193, 5.193, 5.193 Å; angles 60.00, 60.00, 60.00 degrees
Fractional positions:
Ac1 0.000 0.000 0.000
Dy1 0.500 0.500 0.500
Ge1 0.250 0.250 0.250
Rh1 0.750 0.750 0.750

Relative energies, unit meV/atom: i 0; ii 50

## i
Material: AcDyH2
Method: DFT, PBE-GGA
State: relaxed

Cell lengths 6.871, 6.871, 6.871 Å; angles 31.82, 31.82, 31.82 degrees
Fractional positions:
Ac1 0.000 0.000 0.000
Dy1 0.184 0.184 0.184
H1 0.575 0.575 0.575
H2 0.865 0.865 0.865

## ii
Material: AcDyH2
Method: DFT, PBE-GGA
State: relaxed

Cell lengths 6.754, 6.754, 6.754 Å; angles 32.40, 32.40, 32.40 degrees
Fractional positions:
Ac1 0.000 0.000 0.000
Dy1 0.500 0.500 0.500
H1 0.132 0.132 0.132
H2 0.868 0.868 0.868

Relative energies, unit meV/atom: i 178; ii 0

## i
Material: AcDyH
Method: DFT, PBE-GGA
State: relaxed

Cell lengths 6.920, 6.920, 6.920 Å; angles 150.36, 150.36, 42.42 degrees
Fractional positions:
Ac1 0.000 0.000 0.000
Dy1 0.709 0.709 0.000
H1 0.193 0.193 0.000

## ii
Material: AcDyH
Method: DFT, PBE-GGA
State: relaxed

Cell lengths 3.791, 3.791, 6.074 Å; angles 90.00, 90.00, 120.00 degrees
Fractional positions:
Ac1 0.000 0.000 0.000
Dy1 0.667 0.333 0.516
H1 0.333 0.667 0.712

Relative energies, unit meV/atom: i 136; ii 0

## i
Material: AcDyMgHg
Method: DFT, PBE-GGA
State: relaxed

Cell lengths 3.886, 3.886, 7.954 Å; angles 90.00, 90.00, 90.00 degrees
Fractional positions:
Ac1 0.000 0.000 0.000
Dy1 0.000 0.000 0.488
Mg1 0.500 0.500 0.716
Hg1 0.500 0.500 0.292

## ii
Material: AcDyMgHg
Method: DFT, PBE-GGA
State: relaxed

Cell lengths 5.549, 5.549, 5.549 Å; angles 60.00, 60.00, 60.00 degrees
Fractional positions:
Ac1 0.000 0.000 0.000
Dy1 0.500 0.500 0.500
Mg1 0.750 0.750 0.750
Hg1 0.250 0.250 0.250

Relative energies, unit meV/atom: i 0; ii 53

## i
Material: AcDy2Ho4
Method: DFT, PBE-GGA
State: relaxed

Cell lengths 6.766, 9.062, 9.096 Å; angles 92.77, 110.41, 110.45 degrees
Fractional positions:
Ac1 0.000 0.000 0.000
Ac2 0.496 0.876 0.114
Dy1 0.117 0.453 0.131
Dy2 0.359 0.646 0.680
Dy3 0.628 0.000 0.564
Dy4 0.863 0.568 0.773
Ho1 0.098 0.775 0.327
Ho2 0.105 0.297 0.767
Ho3 0.128 0.931 0.666
Ho4 0.308 0.250 0.471
Ho5 0.607 0.206 0.878
Ho6 0.613 0.642 0.416
Ho7 0.619 0.532 0.053
Ho8 0.808 0.346 0.377

## ii
Material: AcDy2Ho4
Method: DFT, PBE-GGA
State: relaxed

Cell lengths 7.131, 8.599, 8.896 Å; angles 114.27, 101.36, 101.73 degrees
Fractional positions:
Ac1 0.000 0.000 0.000
Ac2 0.412 0.451 0.159
Dy1 0.212 0.116 0.703
Dy2 0.330 0.718 0.574
Dy3 0.691 0.293 0.433
Dy4 0.914 0.457 0.168
Ho1 0.102 0.555 0.832
Ho2 0.191 0.296 0.441
Ho3 0.305 0.894 0.300
Ho4 0.504 0.996 0.002
Ho5 0.604 0.557 0.831
Ho6 0.709 0.119 0.705
Ho7 0.806 0.891 0.302
Ho8 0.830 0.712 0.569

Relative energies, unit meV/atom: i 115; ii 0

## i
Material: AcDyHo
Method: DFT, PBE-GGA
State: relaxed

Cell lengths 9.775, 9.775, 5.953 Å; angles 90.00, 90.00, 157.87 degrees
Fractional positions:
Ac1 0.219 0.781 0.750
Ac2 0.781 0.219 0.250
Dy1 0.104 0.896 0.250
Dy2 0.896 0.104 0.750
Ho1 0.449 0.551 0.250
Ho2 0.551 0.449 0.750

## ii
Material: AcDyHo
Method: DFT, PBE-GGA
State: relaxed

Cell lengths 5.043, 5.043, 8.864 Å; angles 90.00, 90.00, 90.00 degrees
Fractional positions:
Ac1 0.250 0.250 0.180
Ac2 0.750 0.750 0.820
Dy1 0.250 0.250 0.772
Dy2 0.750 0.750 0.228
Ho1 0.250 0.750 0.500
Ho2 0.750 0.250 0.500

## iii
Material: AcDyHo
Method: DFT, PBE-GGA
State: relaxed

Cell lengths 6.481, 11.989, 6.195 Å; angles 90.00, 118.34, 90.00 degrees
Fractional positions:
Ac1 0.167 0.133 0.157
Ac2 0.167 0.367 0.657
Ac3 0.833 0.633 0.343
Ac4 0.833 0.867 0.843
Dy1 0.186 0.614 0.013
Dy2 0.186 0.886 0.513
Dy3 0.814 0.114 0.487
Dy4 0.814 0.386 0.987
Ho1 0.482 0.618 0.660
Ho2 0.482 0.882 0.160
Ho3 0.518 0.118 0.840
Ho4 0.518 0.382 0.340

Relative energies, unit meV/atom: i 0; ii 166; iii 6

## i
Material: AcDyHo2
Method: DFT, PBE-GGA
State: relaxed

Cell lengths 5.807, 5.807, 5.807 Å; angles 60.00, 60.00, 60.00 degrees
Fractional positions:
Ac1 0.000 0.000 0.000
Dy1 0.500 0.500 0.500
Ho1 0.250 0.250 0.250
Ho2 0.750 0.750 0.750

## ii
Material: AcDyHo2
Method: DFT, PBE-GGA
State: relaxed

Cell lengths 5.161, 5.161, 5.132 Å; angles 90.00, 90.00, 90.00 degrees
Fractional positions:
Ac1 0.000 0.000 0.000
Dy1 0.500 0.500 0.000
Ho1 0.000 0.500 0.500
Ho2 0.500 0.000 0.500

## iii
Material: AcDyHo2
Method: DFT, PBE-GGA
State: relaxed

Cell lengths 4.125, 4.125, 8.171 Å; angles 90.00, 90.00, 90.00 degrees
Fractional positions:
Ac1 0.000 0.000 0.000
Dy1 0.000 0.000 0.500
Ho1 0.500 0.500 0.277
Ho2 0.500 0.500 0.723

Relative energies, unit meV/atom: i 70; ii 0; iii 49

## i
Material: AcDyHo2
Method: DFT, PBE-GGA
State: relaxed

Cell lengths 12.804, 12.804, 12.804 Å; angles 16.00, 16.00, 16.00 degrees
Fractional positions:
Ac1 0.000 0.000 0.000
Dy1 0.500 0.500 0.500
Ho1 0.093 0.093 0.093
Ho2 0.907 0.907 0.907

## ii
Material: AcDyHo2
Method: DFT, PBE-GGA
State: relaxed

Cell lengths 11.835, 11.835, 11.835 Å; angles 17.93, 17.93, 17.93 degrees
Fractional positions:
Ac1 0.000 0.000 0.000
Dy1 0.166 0.166 0.166
Ho1 0.420 0.420 0.420
Ho2 0.580 0.580 0.580

Relative energies, unit meV/atom: i 141; ii 0